one) First-principles (GGA-PBE) data for crystalline LiZnIr at its relaxed geometry, as listed in Alexandria.

The structure in CIF format:
```
data_LiZnIr
_symmetry_space_group_name_H-M 'A m a 2'
_symmetry_Int_Tables_number 40
_symmetry_space_group_name_Hall 'A 2 -2a'
_cell_length_a 4.420
_cell_length_b 4.726
_cell_length_c 7.917
_cell_angle_alpha 90.00
_cell_angle_beta 90.00
_cell_angle_gamma 90.00
loop_
_atom_site_label
_atom_site_fract_x
_atom_site_fract_y
_atom_site_fract_z
_atom_site_occupancy
Li1 0.250 0.147 0.000 1
Zn1 0.250 0.143 0.328 1
Ir1 0.250 0.138 0.669 1
```

Summary:
**Crystal system**: orthorhombic
**V**: 165.38 Å³/cell
**Total magnetization**: 0.00 μB per formula unit
**Fermi-level density of states**: 5.0 states/eV/cell


two) First-principles (GGA-PBE) data for crystalline LiZnIr at its relaxed geometry, as listed in Alexandria.

The structure in CIF format:
```
data_LiZnIr
_symmetry_space_group_name_H-M 'C 1 2/m 1'
_symmetry_Int_Tables_number 12
_symmetry_space_group_name_Hall '-C 2y'
_cell_length_a 10.016
_cell_length_b 2.652
_cell_length_c 7.420
_cell_angle_alpha 90.00
_cell_angle_beta 121.92
_cell_angle_gamma 90.00
loop_
_atom_site_label
_atom_site_fract_x
_atom_site_fract_y
_atom_site_fract_z
_atom_site_occupancy
Li1 0.120 0.000 0.168 1
Zn1 0.117 0.500 0.480 1
Ir1 0.145 0.000 0.830 1
```

Summary:
**Crystal system**: monoclinic
**V**: 167.33 Å³/cell
**Total magnetization**: 0.00 μB per formula unit
**Fermi-level density of states**: 8.5 states/eV/cell


three) First-principles (GGA-PBE) data for crystalline LiZnIr at its relaxed geometry, as listed in Alexandria.

The structure in CIF format:
```
data_LiZnIr
_symmetry_space_group_name_H-M 'F m m 2'
_symmetry_Int_Tables_number 42
_symmetry_space_group_name_Hall 'F 2 -2'
_cell_length_a 2.860
_cell_length_b 4.513
_cell_length_c 13.269
_cell_angle_alpha 90.00
_cell_angle_beta 90.00
_cell_angle_gamma 90.00
loop_
_atom_site_label
_atom_site_fract_x
_atom_site_fract_y
_atom_site_fract_z
_atom_site_occupancy
Li1 0.000 0.000 0.000 1
Zn1 0.000 0.000 0.673 1
Ir1 0.000 0.000 0.339 1
```

Summary:
**Crystal system**: orthorhombic
**V**: 171.30 Å³/cell
**Total magnetization**: 0.00 μB per formula unit
**Fermi-level density of states**: 9.8 states/eV/cell


one) wins, 39 meV per atom ahead of the next structure.


one) First-principles (GGA-PBE) data for crystalline LiZnIr at its relaxed geometry, as listed in Alexandria.

The structure in CIF format:
```
data_LiZnIr
_symmetry_space_group_name_H-M 'I m m 2'
_symmetry_Int_Tables_number 44
_symmetry_space_group_name_Hall 'I 2 -2'
_cell_length_a 2.644
_cell_length_b 3.982
_cell_length_c 7.838
_cell_angle_alpha 90.00
_cell_angle_beta 90.00
_cell_angle_gamma 90.00
loop_
_atom_site_label
_atom_site_fract_x
_atom_site_fract_y
_atom_site_fract_z
_atom_site_occupancy
Li1 0.000 0.000 0.000 1
Zn1 0.000 0.000 0.674 1
Ir1 0.000 0.000 0.332 1
```

Summary:
**Crystal system**: orthorhombic
**V**: 82.53 Å³/cell
**Total magnetization**: 0.28 μB per formula unit
**Fermi-level density of states**: 4.6 states/eV/cell


two) First-principles (GGA-PBE) data for crystalline LiZnIr at its relaxed geometry, as listed in Alexandria.

The structure in CIF format:
```
data_LiZnIr
_symmetry_space_group_name_H-M 'F -4 3 m'
_symmetry_Int_Tables_number 216
_symmetry_space_group_name_Hall 'F -4 2 3'
_cell_length_a 5.777
_cell_length_b 5.777
_cell_length_c 5.777
_cell_angle_alpha 90.00
_cell_angle_beta 90.00
_cell_angle_gamma 90.00
loop_
_atom_site_label
_atom_site_fract_x
_atom_site_fract_y
_atom_site_fract_z
_atom_site_occupancy
Li1 0.000 0.000 0.000 1
Zn1 0.250 0.250 0.250 1
Ir1 0.000 0.000 0.500 1
```

Summary:
**Crystal system**: cubic
**V**: 192.80 Å³/cell
**Total magnetization**: 0.00 μB per formula unit
**Fermi-level density of states**: 1.4 states/eV/cell


three) First-principles (GGA-PBE) data for crystalline LiZnIr at its relaxed geometry, as listed in Alexandria.

The structure in CIF format:
```
data_LiZnIr
_symmetry_space_group_name_H-M 'I 4 m m'
_symmetry_Int_Tables_number 107
_symmetry_space_group_name_Hall 'I 4 -2'
_cell_length_a 2.758
_cell_length_b 2.758
_cell_length_c 11.261
_cell_angle_alpha 90.00
_cell_angle_beta 90.00
_cell_angle_gamma 90.00
loop_
_atom_site_label
_atom_site_fract_x
_atom_site_fract_y
_atom_site_fract_z
_atom_site_occupancy
Li1 0.000 0.000 0.000 1
Zn1 0.000 0.000 0.321 1
Ir1 0.000 0.000 0.662 1
```

Summary:
**Crystal system**: tetragonal
**V**: 85.67 Å³/cell
**Total magnetization**: 0.00 μB per formula unit
**Fermi-level density of states**: 4.0 states/eV/cell


one) wins, 111 meV per atom ahead of the next structure.